1.
PmSm2Cd2 after structural relaxation. Source: Alexandria via LeMat-Bulk, functional PBE-GGA.

abc: 3.8021 5.4776 14.1274
angles: 90.00 97.76 90.00
Space group P2_1/m (No. 11)
Unique sites:
Pm (0.1490, 0.2500, 0.2958) [2 per cell]
Sm (0.0458, 0.7500, 0.0909) [2 per cell]
Sm (0.2350, 0.7500, 0.4718) [2 per cell]
Cd (0.3594, 0.2500, 0.7186) [2 per cell]
Cd (0.4481, 0.7500, 0.8976) [2 per cell]

Formation energy from the elements, eV/atom: -0.25
Energy above the most stable polymorph in this dataset, meV per atom: 0
Crystal system: monoclinic
N(E_F), states/eV/f.u.: 6.1

2.
Pm2SmCd8 after structural relaxation. Source: Alexandria via LeMat-Bulk, functional PBE-GGA.

abc: 8.4026 16.0356 5.3591
angles: 90.00 129.60 90.00
Space group C2/m (No. 12)
Unique sites:
Pm (0.0000, 0.1909, 0.0000) [4 per cell]
Sm (0.0000, 0.5000, 0.5000) [2 per cell]
Cd (0.0000, 0.3001, 0.5000) [4 per cell]
Cd (0.0034, 0.0000, 0.2513) [4 per cell]
Cd (0.2287, 0.3734, 0.2278) [8 per cell]

Formation energy from the elements, eV/atom: -0.27
Crystal system: monoclinic
N(E_F), states/eV/f.u.: 6.6

3.
Pm3SmCd3 after structural relaxation. Source: Alexandria via LeMat-Bulk, functional PBE-GGA.

abc: 10.8439 10.8816 7.2003
angles: 90.00 90.00 90.00
Space group Cmmm (No. 65)
Unique sites:
Pm (0.0000, 0.2429, 0.0000) [4 per cell]
Pm (0.2403, 0.0000, 0.5000) [4 per cell]
Pm (0.2408, 0.0000, 0.0000) [4 per cell]
Sm (0.0000, 0.2423, 0.5000) [4 per cell]
Cd (0.0000, 0.5000, 0.2521) [4 per cell]
Cd (0.2500, 0.2500, 0.2511) [8 per cell]

Formation energy from the elements, eV/atom: -0.16
Crystal system: orthorhombic
N(E_F), states/eV/f.u.: 9.4

4.
PmSm6Cd5 after structural relaxation. Source: Alexandria via LeMat-Bulk, functional PBE-GGA.

abc: 5.3804 7.8471 16.2940
angles: 90.00 90.00 90.00
Space group Immm (No. 71)
Unique sites:
Pm (0.0000, 0.0000, 0.0000) [2 per cell]
Sm (0.0000, 0.2288, 0.5000) [4 per cell]
Sm (0.0000, 0.2574, 0.1715) [8 per cell]
Cd (0.0000, 0.0000, 0.3305) [4 per cell]
Cd (0.0000, 0.5000, 0.0000) [2 per cell]
Cd (0.0000, 0.5000, 0.3448) [4 per cell]

Formation energy from the elements, eV/atom: -0.22
Crystal system: orthorhombic
N(E_F), states/eV/f.u.: 17.1

5.
Pm3Sm2Cd6 after structural relaxation. Source: Alexandria via LeMat-Bulk, functional PBE-GGA.

abc: 4.1259 4.1259 38.9764
angles: 90.00 90.00 90.00
Space group I4/mmm (No. 139)
Unique sites:
Pm (0.0000, 0.0000, 0.0000) [2 per cell]
Pm (0.0000, 0.0000, 0.1886) [4 per cell]
Sm (0.0000, 0.0000, 0.3670) [4 per cell]
Cd (0.0000, 0.0000, 0.2727) [4 per cell]
Cd (0.0000, 0.5000, 0.0658) [8 per cell]

Formation energy from the elements, eV/atom: -0.01
Crystal system: tetragonal
N(E_F), states/eV/f.u.: 8.6

6.
Pm2Sm8Cd after structural relaxation. Source: Alexandria via LeMat-Bulk, functional PBE-GGA.

abc: 18.2709 5.0825 8.0274
angles: 90.00 105.55 90.00
Space group C2/m (No. 12)
Unique sites:
Pm (0.2242, 0.0000, 0.1357) [4 per cell]
Sm (0.0450, 0.0000, 0.2235) [4 per cell]
Sm (0.0889, 0.5000, 0.9443) [4 per cell]
Sm (0.1349, 0.0000, 0.6773) [4 per cell]
Sm (0.1800, 0.5000, 0.4095) [4 per cell]
Cd (0.0000, 0.5000, 0.5000) [2 per cell]

Formation energy from the elements, eV/atom: -0.02
Energy above the most stable polymorph in this dataset, meV per atom: 0
Crystal system: monoclinic
N(E_F), states/eV/f.u.: 15.1

7.
Pm3Sm2Cd after structural relaxation. Source: Alexandria via LeMat-Bulk, functional PBE-GGA.

abc: 3.6600 3.6600 14.3915
angles: 90.00 90.00 90.00
Space group P4/mmm (No. 123)
Unique sites:
Pm (0.0000, 0.0000, 0.0000) [1 per cell]
Pm (0.0000, 0.0000, 0.3541) [2 per cell]
Sm (0.5000, 0.5000, 0.1778) [2 per cell]
Cd (0.5000, 0.5000, 0.5000) [1 per cell]

Formation energy from the elements, eV/atom: -0.09
Energy above the most stable polymorph in this dataset, meV per atom: 0
Crystal system: tetragonal
N(E_F), states/eV/f.u.: 7.6

8.
Pm5Sm5Cd2 after structural relaxation. Source: Alexandria via LeMat-Bulk, functional PBE-GGA.

abc: 15.0015 4.9864 10.1064
angles: 90.00 90.05 90.00
Space group C2/m (No. 12)
Unique sites:
Pm (0.0000, 0.0000, 0.0000) [2 per cell]
Pm (0.0031, 0.5000, 0.2499) [4 per cell]
Pm (0.1690, 0.5000, 0.5048) [4 per cell]
Sm (0.0000, 0.0000, 0.5000) [2 per cell]
Sm (0.1693, 0.5000, 0.9952) [4 per cell]
Sm (0.1706, 0.0000, 0.7503) [4 per cell]
Cd (0.1661, 0.0000, 0.2495) [4 per cell]

Formation energy from the elements, eV/atom: -0.05
Crystal system: monoclinic
N(E_F), states/eV/f.u.: 15.3

9.
Pm6Sm3Cd after structural relaxation. Source: Alexandria via LeMat-Bulk, functional PBE-GGA.

abc: 11.1415 5.1569 11.4686
angles: 90.00 92.22 90.00
Space group P2_1/m (No. 11)
Unique sites:
Pm (0.0447, 0.2500, 0.3917) [2 per cell]
Pm (0.1343, 0.7500, 0.1811) [2 per cell]
Pm (0.1538, 0.2500, 0.6853) [2 per cell]
Pm (0.2319, 0.2500, 0.9914) [2 per cell]
Pm (0.3447, 0.7500, 0.7969) [2 per cell]
Pm (0.4497, 0.2500, 0.6013) [2 per cell]
Sm (0.2462, 0.7500, 0.4886) [2 per cell]
Sm (0.3455, 0.2500, 0.2900) [2 per cell]
Sm (0.4485, 0.7500, 0.0971) [2 per cell]
Cd (0.0548, 0.7500, 0.8903) [2 per cell]

Formation energy from the elements, eV/atom: -0.02
Crystal system: monoclinic
N(E_F), states/eV/f.u.: 14.8

10.
PmSmCd after structural relaxation. Source: Alexandria via LeMat-Bulk, functional PBE-GGA.

abc: 3.7138 3.7138 13.0976
angles: 90.00 90.00 90.00
Space group I4mm (No. 107)
Unique sites:
Pm (0.0000, 0.0000, 0.0000) [2 per cell]
Sm (0.0000, 0.0000, 0.6895) [2 per cell]
Cd (0.0000, 0.0000, 0.3435) [2 per cell]

Formation energy from the elements, eV/atom: -0.20
Energy above the most stable polymorph in this dataset, meV per atom: 0
Crystal system: tetragonal
N(E_F), states/eV/f.u.: 4.3

11.
PmSm6Cd6 after structural relaxation. Source: Alexandria via LeMat-Bulk, functional PBE-GGA.

abc: 6.1237 6.1237 11.4630
angles: 90.00 90.00 120.00
Space group P6/mmm (No. 191)
Unique sites:
Pm (0.0000, 0.0000, 0.0000) [1 per cell]
Sm (0.0000, 0.0000, 0.3474) [2 per cell]
Sm (0.3333, 0.6667, 0.0000) [2 per cell]
Sm (0.3333, 0.6667, 0.5000) [2 per cell]
Cd (0.0000, 0.5000, 0.2404) [6 per cell]

Formation energy from the elements, eV/atom: -0.17
Crystal system: hexagonal
N(E_F), states/eV/f.u.: 17.2

12.
Pm4Sm3Cd after structural relaxation. Source: Alexandria via LeMat-Bulk, functional PBE-GGA.

abc: 4.1659 4.1659 14.9333
angles: 90.00 90.00 90.00
Space group P4/mmm (No. 123)
Unique sites:
Pm (0.0000, 0.0000, 0.1142) [2 per cell]
Pm (0.0000, 0.0000, 0.3759) [2 per cell]
Sm (0.5000, 0.5000, 0.2518) [2 per cell]
Sm (0.5000, 0.5000, 0.5000) [1 per cell]
Cd (0.5000, 0.5000, 0.0000) [1 per cell]

Formation energy from the elements, eV/atom: 0.02
Crystal system: tetragonal
N(E_F), states/eV/f.u.: 13.7